1.
VASP calculation (PBE-GGA) on crystalline KCuRu4 at its relaxed geometry.

Geometry as POSCAR:
```
KCuRu4
1.0
0.0000 3.7274 3.7274
3.7274 0.0000 3.7274
3.7274 3.7274 0.0000
K Cu Ru
1 1 4
Cartesian
0.0000 0.0000 0.0000 K
1.8637 1.8637 1.8637 Cu
4.6558 2.7989 2.7989 Ru
2.7989 4.6558 2.7989 Ru
2.7989 2.7989 4.6558 Ru
4.6558 4.6558 4.6558 Ru
```

Calculated formation energy in eV/atom: 1.054
Magnetization in μB per cell: 4.06

---

2.
VASP calculation (PBE-GGA) on crystalline K4CuRu at its relaxed geometry.

Geometry as POSCAR:
```
K4CuRu
1.0
0.0000 4.9585 4.9585
4.9585 0.0000 4.9585
4.9585 4.9585 0.0000
K Cu Ru
4 1 1
Cartesian
1.2422 1.2422 1.2422 K
3.7163 3.7163 1.2422 K
3.7163 1.2422 3.7163 K
1.2422 3.7163 3.7163 K
4.9585 4.9585 4.9585 Cu
7.4377 7.4377 7.4377 Ru
```

Calculated formation energy in eV/atom: 1.223
Magnetization in μB per cell: 2.72

---

3.
VASP calculation (PBE-GGA) on crystalline KCuRu2 at its relaxed geometry.

Geometry as POSCAR:
```
KCuRu2
1.0
-1.8784 1.8784 4.9502
1.8784 -1.8784 4.9502
1.8784 1.8784 -4.9502
K Cu Ru
1 1 2
Cartesian
0.0000 0.0000 0.0000 K
0.0000 0.0000 4.9502 Cu
1.8784 0.0000 2.4751 Ru
0.0000 1.8784 2.4751 Ru
```

ΔE to the lowest computed polymorph in eV/f.u.: 3.12
Calculated formation energy in eV/atom: 1.340
Magnetization in μB per cell: 0.00

---

4.
VASP calculation (PBE-GGA) on crystalline KCu3Ru at its relaxed geometry.

Geometry as POSCAR:
```
KCu3Ru
1.0
4.8186 0.0000 0.0000
0.0000 4.8186 0.0000
0.0000 0.0000 4.8186
K Cu Ru
1 3 1
Cartesian
0.0000 0.0000 0.0000 K
0.0000 2.4093 2.4093 Cu
2.4093 0.0000 2.4093 Cu
2.4093 2.4093 0.0000 Cu
2.4093 2.4093 2.4093 Ru
```

ΔE to the lowest computed polymorph in eV/f.u.: 0.00
Calculated formation energy in eV/atom: 0.857
Magnetization in μB per cell: 2.00

---

5.
VASP calculation (PBE-GGA) on crystalline KCuRu2 at its relaxed geometry.

Geometry as POSCAR:
```
KCuRu2
1.0
0.0000 3.2350 3.2350
3.2350 0.0000 3.2350
3.2350 3.2350 0.0000
K Cu Ru
1 1 2
Cartesian
0.0000 0.0000 0.0000 K
3.2350 3.2350 3.2350 Cu
1.6175 1.6175 1.6175 Ru
4.8525 4.8525 4.8525 Ru
```

ΔE to the lowest computed polymorph in eV/f.u.: 3.90
Calculated formation energy in eV/atom: 1.536
Magnetization in μB per cell: 3.64

---

6.
VASP calculation (PBE-GGA) on crystalline KCuRu at its relaxed geometry.

Geometry as POSCAR:
```
KCuRu
1.0
0.0000 3.2857 3.2857
3.2857 0.0000 3.2857
3.2857 3.2857 0.0000
K Cu Ru
1 1 1
Cartesian
0.0000 0.0000 0.0000 K
1.6428 1.6428 1.6428 Cu
3.2857 3.2857 3.2857 Ru
```

ΔE to the lowest computed polymorph in eV/f.u.: 2.39
Calculated formation energy in eV/atom: 1.514
Magnetization in μB per cell: 2.13

---

What is the calculated formation energy in the sixth record?
1.514 eV/atom

---

What is the magnetization in the first record?
4.06 μB per cell

---

Which of these has the highest calculated formation energy?
number 5

---

The highest magnetization belongs to which entry?
KCuRu4